# Cs2PtSeI6 (PBE, optimized geometry)
data_Cs2PtSeI6
_cell_length_a 8.2841
_cell_length_b 8.2841
_cell_length_c 11.5413
_cell_angle_alpha 90.00
_cell_angle_beta 90.00
_cell_angle_gamma 90.00
_space_group_name_H-M_alt 'I 4/m m m'
_space_group_IT_number 139
_space_group_name_Hall '-I 4 2'
loop_
_atom_site_label
_atom_site_fract_x
_atom_site_fract_y
_atom_site_fract_z
_atom_site_occupancy
Cs1 0.0000 0.5000 0.2500 1
Pt1 0.0000 0.0000 0.0000 1
Se1 0.0000 0.0000 0.5000 1
I1 0.0000 0.0000 0.2418 1
I2 0.2366 0.2366 0.0000 1
# **E**: -27.06 eV/f.u.
# **Mass density**: 5.5 g/cm³
# **D(E_F)**: 6.9 states/eV per cell